# ZnFeMo2

An optimized crystal structure of ZnFeMo2 (GGA-PBE, the Alexandria database).

Values from the calculation:
space-group type	Cmm2 (35)
E_form	1.8	kcal/mol of atoms
DOS at the Fermi energy	2.359	states/eV/f.u.

Lattice parameters (Å, degrees): 3.1909 4.2415 8.5686 90.00 90.00 90.00
With the nearest neighbours (Å) after each atom.
Positions (direct):
Zn  0.0000  0.0000  0.0000  2 Fe 2.56, 4 Zn 2.65, 2 Mo 2.75
Zn  0.5000  0.5000  0.0000  2 Fe 2.56, 4 Zn 2.65, 2 Mo 2.75
Fe  0.0000  0.5000  0.2337  2 Zn 2.56, 2 Mo 2.59, 4 Fe 2.65
Fe  0.5000  0.0000  0.2337  2 Zn 2.56, 2 Mo 2.59, 4 Fe 2.65
Mo  0.0000  0.0000  0.4725  2 Fe 2.59, 6 Mo 2.65-2.78
Mo  0.0000  0.5000  0.7385  6 Mo 2.65-2.78, 2 Zn 2.75
Mo  0.5000  0.0000  0.7385  6 Mo 2.65-2.78, 2 Zn 2.75
Mo  0.5000  0.5000  0.4725  2 Fe 2.59, 6 Mo 2.65-2.78